No. 1
An optimized crystal structure of Ac6Ru2PtBr3, computed with PBE.

SG: C2/m (12)
E_tot: -5.565 eV per atom
ρ: 8.179 g cm⁻³
energy relative to the elements, uncorrected: -1043 meV/atom

Lattice parameters (Å, degrees): 7.5150 7.5150 8.6661 98.28 98.28 120.01
Element x y z (fractional)
Ac: 0.0909 0.4351 0.8049
Ac: 0.2203 0.2203 0.1950
Ac: 0.4351 0.0909 0.8049
Ac: 0.5649 0.9091 0.1951
Ac: 0.7797 0.7797 0.8050
Ac: 0.9091 0.5649 0.1951
Ru: 0.1664 0.8336 0.0000
Ru: 0.8336 0.1664 0.0000
Pt: 0.5000 0.5000 0.0000
Br: 0.0000 0.0000 0.5000
Br: 0.3298 0.6702 0.5000
Br: 0.6702 0.3298 0.5000

***

No. 2
An optimized crystal structure of CeTm2ScTe4, computed with PBE.

SG: P2/m (10)
E_tot: -5.414 eV per atom
ρ: 7.512 g cm⁻³
energy relative to the elements, uncorrected: -1192 meV/atom

Lattice parameters (Å, degrees): 7.4923 4.2817 7.5267 90.00 108.92 90.00
Element x y z (fractional)
Ce: 0.0000 0.0000 0.0000
Tm: 0.5000 0.0000 0.5000
Tm: 0.5000 0.5000 0.0000
Sc: 0.0000 0.5000 0.5000
Te: 0.2490 0.0000 0.7394
Te: 0.2570 0.5000 0.2630
Te: 0.7430 0.5000 0.7370
Te: 0.7510 0.0000 0.2606

***

- Among the records above, which one has the lowest E_tot?
  Ac6Ru2PtBr3

***

- Number 1 is which compound?
  Ac6Ru2PtBr3

***

- What is the formula in the first record?
  Ac6Ru2PtBr3

***

- What is the E_tot in the second record?
  -5.414 eV per atom